Density functional theory data (PBE) for GdErMnCu after structural relaxation.

Values from the calculation:
Total energy in Ry/atom: -0.58262
E_form in eV per atom: 0.0505
Crystal system: cubic

Cell lengths 4.954, 4.954, 4.954 Å; angles 60.00, 60.00, 60.00 degrees
Atoms (fractional coordinates):
Gd (0.000, 0.000, 0.000)
Er (0.500, 0.500, 0.500)
Mn (0.250, 0.250, 0.250)
Cu (0.750, 0.750, 0.750)

***

Density functional theory data (PBE) for GdErCuOs after structural relaxation.

Values from the calculation:
Total energy in Ry/atom: -0.64242
E_form in eV per atom: -0.2481
Crystal system: cubic

Cell lengths 4.853, 4.853, 4.853 Å; angles 60.00, 60.00, 60.00 degrees
Atoms (fractional coordinates):
Gd (0.000, 0.000, 0.000)
Er (0.500, 0.500, 0.500)
Cu (0.750, 0.750, 0.750)
Os (0.250, 0.250, 0.250)

***

Density functional theory data (PBE) for GdErCuPb after structural relaxation.

Values from the calculation:
Total energy in Ry/atom: -0.50858
E_form in eV per atom: -0.3075
Crystal system: cubic

Cell lengths 5.202, 5.202, 5.202 Å; angles 60.00, 60.00, 60.00 degrees
Atoms (fractional coordinates):
Gd (0.000, 0.000, 0.000)
Er (0.500, 0.500, 0.500)
Cu (0.750, 0.750, 0.750)
Pb (0.250, 0.250, 0.250)

***

Density functional theory data (PBE) for GdErCuPd after structural relaxation.

Values from the calculation:
Total energy in Ry/atom: -0.55404
E_form in eV per atom: -0.5549
Crystal system: cubic

Cell lengths 4.946, 4.946, 4.946 Å; angles 60.00, 60.00, 60.00 degrees
Atoms (fractional coordinates):
Gd (0.000, 0.000, 0.000)
Er (0.500, 0.500, 0.500)
Cu (0.250, 0.250, 0.250)
Pd (0.750, 0.750, 0.750)

***

Density functional theory data (PBE) for GdErCuPt after structural relaxation.

Values from the calculation:
Total energy in Ry/atom: -0.58450
E_form in eV per atom: -0.7574
Crystal system: cubic

Cell lengths 4.929, 4.929, 4.929 Å; angles 60.00, 60.00, 60.00 degrees
Atoms (fractional coordinates):
Gd (0.000, 0.000, 0.000)
Er (0.500, 0.500, 0.500)
Cu (0.750, 0.750, 0.750)
Pt (0.250, 0.250, 0.250)

***

Density functional theory data (PBE) for GdErCuRh after structural relaxation.

Values from the calculation:
Total energy in Ry/atom: -0.59347
E_form in eV per atom: -0.5518
Crystal system: cubic

Cell lengths 4.887, 4.887, 4.887 Å; angles 60.00, 60.00, 60.00 degrees
Atoms (fractional coordinates):
Gd (0.000, 0.000, 0.000)
Er (0.500, 0.500, 0.500)
Cu (0.750, 0.750, 0.750)
Rh (0.250, 0.250, 0.250)

***

Density functional theory data (PBE) for GdErCuRu after structural relaxation.

Values from the calculation:
Total energy in Ry/atom: -0.61213
E_form in eV per atom: -0.3245
Crystal system: cubic

Cell lengths 4.857, 4.857, 4.857 Å; angles 60.00, 60.00, 60.00 degrees
Atoms (fractional coordinates):
Gd (0.000, 0.000, 0.000)
Er (0.500, 0.500, 0.500)
Cu (0.250, 0.250, 0.250)
Ru (0.750, 0.750, 0.750)

***

Density functional theory data (PBE) for GdErCuSi after structural relaxation.

Values from the calculation:
Total energy in Ry/atom: -0.54912
Raw formation energy in eV/atom: -0.43
Crystal system: cubic

Cell lengths 4.932, 4.932, 4.932 Å; angles 60.00, 60.00, 60.00 degrees
Atoms (fractional coordinates):
Gd (0.000, 0.000, 0.000)
Er (0.500, 0.500, 0.500)
Cu (0.750, 0.750, 0.750)
Si (0.250, 0.250, 0.250)

***

Density functional theory data (PBE) for GdErCuSn after structural relaxation.

Values from the calculation:
Total energy in Ry/atom: -0.52356
E_form in eV per atom: -0.4378
Crystal system: cubic

Cell lengths 5.143, 5.143, 5.143 Å; angles 60.00, 60.00, 60.00 degrees
Atoms (fractional coordinates):
Gd (0.000, 0.000, 0.000)
Er (0.500, 0.500, 0.500)
Cu (0.750, 0.750, 0.750)
Sn (0.250, 0.250, 0.250)

***

Density functional theory data (PBE) for ErCu12Ge6 after structural relaxation.

Values from the calculation:
Total energy in Ry/atom: -0.30911
E_form in eV per atom: 0.0796
Crystal system: trigonal

Cell lengths 6.836, 6.836, 6.836 Å; angles 103.01, 103.01, 103.01 degrees
Atoms (fractional coordinates):
Er (0.000, 0.000, 0.000)
Cu (0.112, 0.500, 0.888)
Cu (0.112, 0.888, 0.500)
Cu (0.127, 0.371, 0.371)
Cu (0.371, 0.127, 0.371)
Cu (0.371, 0.371, 0.127)
Cu (0.500, 0.112, 0.888)
Cu (0.500, 0.888, 0.112)
Cu (0.629, 0.629, 0.873)
Cu (0.629, 0.873, 0.629)
Cu (0.873, 0.629, 0.629)
Cu (0.888, 0.112, 0.500)
Cu (0.888, 0.500, 0.112)
Ge (0.277, 0.277, 0.698)
Ge (0.277, 0.698, 0.277)
Ge (0.302, 0.723, 0.723)
Ge (0.698, 0.277, 0.277)
Ge (0.723, 0.302, 0.723)
Ge (0.723, 0.723, 0.302)

***

Density functional theory data (PBE) for Er2Cu3Ge after structural relaxation.

Values from the calculation:
Total energy in Ry/atom: -0.35117
E_form in eV per atom: -0.4393
Crystal system: orthorhombic

Cell lengths 3.409, 4.229, 7.551 Å; angles 90.00, 90.00, 90.00 degrees
Atoms (fractional coordinates):
Er (0.000, 0.000, 0.000)
Er (0.000, 0.500, 0.475)
Cu (0.500, 0.000, 0.323)
Cu (0.500, 0.000, 0.653)
Cu (0.500, 0.500, 0.152)
Ge (0.500, 0.500, 0.818)

***

Density functional theory data (PBE) for ErCu9Ge2 after structural relaxation.

Values from the calculation:
Total energy in Ry/atom: -0.31427
E_form in eV per atom: -0.0539
Crystal system: trigonal

Cell lengths 8.401, 8.401, 8.401 Å; angles 34.73, 34.73, 34.73 degrees
Atoms (fractional coordinates):
Er (0.000, 0.000, 0.000)
Cu (0.080, 0.589, 0.589)
Cu (0.334, 0.334, 0.334)
Cu (0.411, 0.411, 0.920)
Cu (0.411, 0.920, 0.411)
Cu (0.500, 0.500, 0.500)
Cu (0.589, 0.080, 0.589)
Cu (0.589, 0.589, 0.080)
Cu (0.666, 0.666, 0.666)
Cu (0.920, 0.411, 0.411)
Ge (0.144, 0.144, 0.144)
Ge (0.856, 0.856, 0.856)

***

Density functional theory data (PBE) for Er2Cu5Ge3 after structural relaxation.

Values from the calculation:
Total energy in Ry/atom: -0.33449
E_form in eV per atom: -0.2051
Crystal system: tetragonal

Cell lengths 4.046, 4.046, 10.532 Å; angles 90.00, 90.00, 90.00 degrees
Atoms (fractional coordinates):
Er (0.000, 0.500, 0.223)
Er (0.500, 0.000, 0.777)
Cu (0.000, 0.000, 0.000)
Cu (0.000, 0.000, 0.500)
Cu (0.000, 0.500, 0.873)
Cu (0.500, 0.000, 0.127)
Cu (0.500, 0.500, 0.000)
Ge (0.000, 0.500, 0.654)
Ge (0.500, 0.000, 0.346)
Ge (0.500, 0.500, 0.500)

***

Density functional theory data (PBE) for Er2Cu2Ge3 after structural relaxation.

Values from the calculation:
Total energy in Ry/atom: -0.37190
E_form in eV per atom: -0.6071
Crystal system: orthorhombic

Cell lengths 9.231, 9.231, 6.707 Å; angles 90.00, 90.00, 153.60 degrees
Atoms (fractional coordinates):
Er (0.051, 0.949, 0.750)
Er (0.157, 0.843, 0.250)
Er (0.843, 0.157, 0.750)
Er (0.949, 0.051, 0.250)
Cu (0.306, 0.694, 0.059)
Cu (0.306, 0.694, 0.441)
Cu (0.694, 0.306, 0.559)
Cu (0.694, 0.306, 0.941)
Ge (0.221, 0.779, 0.750)
Ge (0.434, 0.566, 0.560)
Ge (0.434, 0.566, 0.940)
Ge (0.566, 0.434, 0.060)
Ge (0.566, 0.434, 0.440)
Ge (0.779, 0.221, 0.250)

***

Density functional theory data (PBE) for ErCuGe2 after structural relaxation.

Values from the calculation:
Total energy in Ry/atom: -0.35636
E_form in eV per atom: -0.3751
Crystal system: tetragonal

Cell lengths 4.217, 4.217, 4.085 Å; angles 90.00, 90.00, 90.00 degrees
Atoms (fractional coordinates):
Er (0.000, 0.000, 0.000)
Cu (0.500, 0.500, 0.000)
Ge (0.000, 0.500, 0.500)
Ge (0.500, 0.000, 0.500)

***

Density functional theory data (PBE) for Er2CuGe after structural relaxation.

Values from the calculation:
Total energy in Ry/atom: -0.37073
E_form in eV per atom: -0.5843
Crystal system: monoclinic

Cell lengths 5.793, 4.152, 7.755 Å; angles 90.00, 110.36, 90.00 degrees
Atoms (fractional coordinates):
Er (0.213, 0.250, 0.438)
Er (0.214, 0.250, 0.917)
Er (0.786, 0.750, 0.083)
Er (0.787, 0.750, 0.562)
Cu (0.363, 0.750, 0.715)
Cu (0.637, 0.250, 0.285)
Ge (0.339, 0.750, 0.210)
Ge (0.661, 0.250, 0.790)

***

Density functional theory data (PBE) for ErCu6Ge4 after structural relaxation.

Values from the calculation:
Total energy in Ry/atom: -0.32828
E_form in eV per atom: -0.1384
Crystal system: hexagonal

Cell lengths 6.993, 6.993, 3.964 Å; angles 90.00, 90.00, 120.00 degrees
Atoms (fractional coordinates):
Er (0.000, 0.000, 0.000)
Cu (0.207, 0.414, 0.500)
Cu (0.207, 0.793, 0.500)
Cu (0.540, 0.080, 0.000)
Cu (0.540, 0.460, 0.000)
Cu (0.586, 0.793, 0.500)
Cu (0.920, 0.460, 0.000)
Ge (0.333, 0.667, 0.000)
Ge (0.381, 0.191, 0.500)
Ge (0.809, 0.191, 0.500)
Ge (0.809, 0.619, 0.500)

***

Density functional theory data (PBE) for Er4CuGe8 after structural relaxation.

Values from the calculation:
Total energy in Ry/atom: -0.37756
E_form in eV per atom: -0.5764
Crystal system: orthorhombic

Cell lengths 3.951, 4.051, 16.381 Å; angles 90.00, 90.00, 90.00 degrees
Atoms (fractional coordinates):
Er (0.000, 0.000, 0.000)
Er (0.000, 0.500, 0.486)
Er (0.500, 0.000, 0.789)
Er (0.500, 0.500, 0.282)
Cu (0.000, 0.500, 0.714)
Ge (0.000, 0.000, 0.330)
Ge (0.000, 0.000, 0.626)
Ge (0.000, 0.500, 0.138)
Ge (0.000, 0.500, 0.857)
Ge (0.500, 0.000, 0.145)
Ge (0.500, 0.000, 0.432)
Ge (0.500, 0.500, 0.626)
Ge (0.500, 0.500, 0.956)

***

Density functional theory data (PBE) for ErCu6Ge2 after structural relaxation.

Values from the calculation:
Total energy in Ry/atom: -0.32916
E_form in eV per atom: -0.2146
Crystal system: tetragonal

Cell lengths 4.058, 4.058, 8.076 Å; angles 90.00, 90.00, 90.00 degrees
Atoms (fractional coordinates):
Er (0.000, 0.000, 0.000)
Cu (0.000, 0.000, 0.500)
Cu (0.000, 0.500, 0.315)
Cu (0.000, 0.500, 0.685)
Cu (0.500, 0.000, 0.315)
Cu (0.500, 0.000, 0.685)
Cu (0.500, 0.500, 0.500)
Ge (0.500, 0.500, 0.153)
Ge (0.500, 0.500, 0.847)

***

Density functional theory data (PBE) for Er3CuGe2 after structural relaxation.

Values from the calculation:
Total energy in Ry/atom: -0.38365
E_form in eV per atom: -0.7166
Crystal system: orthorhombic

Cell lengths 11.274, 4.184, 11.318 Å; angles 90.00, 90.00, 90.00 degrees
Atoms (fractional coordinates):
Er (0.059, 0.250, 0.124)
Er (0.124, 0.750, 0.562)
Er (0.213, 0.250, 0.802)
Er (0.287, 0.750, 0.302)
Er (0.376, 0.250, 0.062)
Er (0.441, 0.750, 0.624)
Er (0.559, 0.250, 0.376)
Er (0.624, 0.750, 0.938)
Er (0.713, 0.250, 0.698)
Er (0.787, 0.750, 0.198)
Er (0.876, 0.250, 0.438)
Er (0.941, 0.750, 0.876)
Cu (0.132, 0.250, 0.364)
Cu (0.368, 0.750, 0.864)
Cu (0.632, 0.250, 0.136)
Cu (0.868, 0.750, 0.636)
Ge (0.018, 0.750, 0.315)
Ge (0.189, 0.750, 0.997)
Ge (0.311, 0.250, 0.497)
Ge (0.482, 0.250, 0.815)
Ge (0.518, 0.750, 0.185)
Ge (0.689, 0.750, 0.503)
Ge (0.811, 0.250, 0.003)
Ge (0.982, 0.250, 0.685)

***

Density functional theory data (PBE) for Er3CuGe3 after structural relaxation.

Values from the calculation:
Total energy in Ry/atom: -0.38826
E_form in eV per atom: -0.7630
Relative energy among the computed polymorphs in eV per atom: 0.000
Crystal system: monoclinic

Cell lengths 5.679, 5.679, 13.768 Å; angles 108.70, 108.70, 43.73 degrees
Atoms (fractional coordinates):
Er (0.032, 0.032, 0.381)
Er (0.100, 0.100, 0.923)
Er (0.243, 0.243, 0.226)
Er (0.757, 0.757, 0.774)
Er (0.900, 0.900, 0.077)
Er (0.968, 0.968, 0.619)
Cu (0.259, 0.259, 0.605)
Cu (0.741, 0.741, 0.395)
Ge (0.363, 0.363, 0.454)
Ge (0.376, 0.376, 0.924)
Ge (0.468, 0.468, 0.767)
Ge (0.532, 0.532, 0.233)
Ge (0.624, 0.624, 0.076)
Ge (0.637, 0.637, 0.546)

***

Density functional theory data (PBE) for Er2CuGe3 after structural relaxation.

Values from the calculation:
Total energy in Ry/atom: -0.37509
E_form in eV per atom: -0.5910
Crystal system: orthorhombic

Cell lengths 3.971, 4.236, 7.067 Å; angles 90.00, 90.00, 90.00 degrees
Atoms (fractional coordinates):
Er (0.000, 0.000, 0.000)
Er (0.000, 0.500, 0.492)
Cu (0.500, 0.500, 0.819)
Ge (0.500, 0.000, 0.332)
Ge (0.500, 0.000, 0.680)
Ge (0.500, 0.500, 0.149)

***

Density functional theory data (PBE) for Er2CuGe after structural relaxation.

Values from the calculation:
Total energy in Ry/atom: -0.36366
E_form in eV per atom: -0.4881
Crystal system: tetragonal

Cell lengths 4.840, 4.840, 3.620 Å; angles 90.00, 90.00, 90.00 degrees
Atoms (fractional coordinates):
Er (0.000, 0.500, 0.000)
Er (0.500, 0.000, 0.000)
Cu (0.000, 0.000, 0.500)
Ge (0.500, 0.500, 0.500)

***

Density functional theory data (PBE) for Er3CuGe3 after structural relaxation.

Values from the calculation:
Total energy in Ry/atom: -0.36397
E_form in eV per atom: -0.4326
Relative energy among the computed polymorphs in eV per atom: 0.330
Crystal system: hexagonal

Cell lengths 8.415, 8.415, 5.731 Å; angles 90.00, 90.00, 120.00 degrees
Atoms (fractional coordinates):
Er (0.059, 0.367, 0.250)
Er (0.308, 0.941, 0.250)
Er (0.367, 0.308, 0.750)
Er (0.633, 0.692, 0.250)
Er (0.692, 0.059, 0.750)
Er (0.941, 0.633, 0.750)
Cu (0.333, 0.667, 0.750)
Cu (0.667, 0.333, 0.250)
Ge (0.057, 0.362, 0.750)
Ge (0.305, 0.943, 0.750)
Ge (0.362, 0.305, 0.250)
Ge (0.638, 0.695, 0.750)
Ge (0.695, 0.057, 0.250)
Ge (0.943, 0.638, 0.250)